1.
A plane-wave DFT calculation with PBE-GGA was carried out for crystalline Sc4SiPt at its relaxed geometry.

Calculated values
Total moment in μB/atom: 0.0702
ΔE_f (raw) in meV per atom: 156
Total energy in eV for the cell shown: -35.86
Symmetry: F-43m, No. 216

Structure (POSCAR):
```
Sc4SiPt
1.0
0.960 -4.068 -3.590
-0.622 -5.249 1.554
-4.193 -2.979 -1.974
Sc Si Pt
4 1 1
direct
0.874 0.375 0.375
0.375 0.375 0.874
0.375 0.874 0.375
0.375 0.375 0.375
0.750 0.750 0.750
0.000 0.000 0.000
```

2.
A plane-wave DFT calculation with PBE-GGA was carried out for crystalline ScSi3Pt at its relaxed geometry.

Calculated values
Total moment in μB/atom: 0.0000
ΔE_f (raw) in meV per atom: 1250
Total energy in eV for the cell shown: -22.39
Symmetry: Pm-3m, No. 221

Structure (POSCAR):
```
ScSi3Pt
1.0
-3.999 1.925 1.988
1.163 -2.000 4.277
2.511 3.993 1.184
Si Sc Pt
3 1 1
direct
0.000 0.000 0.500
0.000 0.500 0.000
0.500 0.000 0.000
0.000 0.000 0.000
0.500 0.500 0.500
```

3.
A plane-wave DFT calculation with PBE-GGA was carried out for crystalline Sc2SiPt at its relaxed geometry.

Calculated values
Total moment in μB/atom: 0.0000
ΔE_f (raw) in meV per atom: -1031
Total energy in eV for the cell shown: -56.50
Symmetry: P2_1/m, No. 11

Structure (POSCAR):
```
Sc2SiPt
1.0
4.137 0.000 0.000
0.000 5.420 0.080
0.000 -2.597 6.690
Si Pt Sc
2 2 4
direct
0.750 0.672 0.791
0.250 0.328 0.209
0.750 0.639 0.288
0.250 0.361 0.712
0.250 0.781 0.085
0.750 0.219 0.915
0.250 0.796 0.563
0.750 0.204 0.437
```

4.
A plane-wave DFT calculation with PBE-GGA was carried out for crystalline ScSi2Pt at its relaxed geometry.

Calculated values
Total moment in μB/atom: 0.0001
ΔE_f (raw) in meV per atom: -286
Total energy in eV for the cell shown: -24.36
Symmetry: R3m, No. 160

Structure (POSCAR):
```
ScSi2Pt
1.0
-3.311 7.363 0.781
-5.867 5.536 0.847
-4.203 6.006 3.472
Si Sc Pt
2 1 1
direct
0.249 0.249 0.249
0.992 0.992 0.992
0.751 0.751 0.751
0.509 0.509 0.509
```

- The highest ΔE_f (raw) belongs to which entry?
  ScSi3Pt

- Look up the ΔE_f (raw) of the second one.
  1250 meV per atom

- Which of these has the highest ΔE_f (raw)?
  ScSi3Pt

Please write out number 4 again, unchanged.
A plane-wave DFT calculation with PBE-GGA was carried out for crystalline ScSi2Pt at its relaxed geometry.

Calculated values
Total moment in μB/atom: 0.0001
ΔE_f (raw) in meV per atom: -286
Total energy in eV for the cell shown: -24.36
Symmetry: R3m, No. 160

Structure (POSCAR):
```
ScSi2Pt
1.0
-3.311 7.363 0.781
-5.867 5.536 0.847
-4.203 6.006 3.472
Si Sc Pt
2 1 1
direct
0.249 0.249 0.249
0.992 0.992 0.992
0.751 0.751 0.751
0.509 0.509 0.509
```